(1)
First-principles (PBE) data for a geometry-optimized RuW2Au structure, as listed in Alexandria.

Properties
The calculation puts the total moment at 0.0 Bohr magnetons per cell. As for the uncorrected energy: -8.807 eV per atom. Its density of states at the Fermi level is 0.9796 states/eV per atom. The calculation puts the distance to the lowest polymorph of the same formula at 0.6253 eV per atom.

Unit cell a=5.778 b=5.778 c=5.778 alpha=102.55 beta=102.55 gamma=124.42
Fractional positions:
Ru 0.000 0.000 0.000
Ru 0.750 0.250 0.500
W 0.088 0.625 0.963
W 0.375 0.338 0.463
W 0.662 0.125 0.037
W 0.875 0.912 0.537
Au 0.250 0.750 0.500
Au 0.500 0.500 0.000

=====

(2)
First-principles (PBE) data for a geometry-optimized In2OsPb structure, as listed in Alexandria.

Properties
The calculation puts the total moment at 0.0 Bohr magnetons per cell. As for the uncorrected energy: -4.413 eV per atom. Its density of states at the Fermi level is 0.4307 states/eV per atom.

Unit cell a=5.329 b=5.329 c=5.329 alpha=130.08 beta=130.08 gamma=73.28
Fractional positions:
In 0.000 0.000 0.000
In 0.750 0.250 0.500
Os 0.250 0.750 0.500
Pb 0.500 0.500 0.000

=====

(3)
First-principles (PBE) data for a geometry-optimized UZnCoTc structure, as listed in Alexandria.

Properties
The calculation puts the total moment at 0.8 Bohr magnetons per cell. As for the uncorrected energy: -7.507 eV per atom. Its density of states at the Fermi level is 1.3155 states/eV per atom.

Unit cell a=4.467 b=4.467 c=4.467 alpha=60.00 beta=60.00 gamma=60.00
Fractional positions:
U 0.000 0.000 0.000
Zn 0.500 0.500 0.500
Co 0.250 0.250 0.250
Tc 0.750 0.750 0.750